Density functional theory data (PBE-GGA) for crystalline Mg2Te at its relaxed geometry.

Computed properties:
Space group   No. 189
E_form (uncorrected)   -0.196 eV/atom

extended XYZ file:
```
9
Lattice="4.074 -7.057 0.000 4.074 7.057 0.000 0.000 0.000 4.123" Properties=species:S:1:pos:R:3 pbc="T T T"
Mg 3.335 0.000 2.062
Mg 1.109 -1.920 0.000
Te 4.074 2.352 0.000
Mg 2.407 -4.168 2.062
Mg 5.931 0.000 0.000
Te 4.074 -2.352 0.000
Mg 2.407 4.168 2.062
Mg 1.109 1.920 0.000
Te 0.000 0.000 2.062
```